VASP calculation (PBE) on crystalline CsLa2TiTl at its relaxed geometry.

abc: 5.6534 5.6800 5.6534
angles: 90.00 90.00 90.00
Fractional coordinates of all 5 atoms:
La: 0.5000 0.0000 0.0000
La: 0.0000 0.0000 0.5000
Ti: 0.0000 0.0000 0.0000
Cs: 0.5000 0.5000 0.5000
Tl: 0.0000 0.5000 0.0000

Properties
Total magnetization ... 0.00 μB per formula unit
Calculated volume ... 36.31 Å³ per atom
DOS at the Fermi energy ... 5.340 states/eV per cell
E_form ... 0.351 eV/atom